First-principles (GGA+U) data for a relaxed structure of GaNi2IrO6, as listed in Alexandria via LeMat-Bulk.

Properties
DFT total energy = -5.373 eV per atom
total magnetization = 4.0 μB per formula unit

abc: 3.7277 5.7581 5.7581
angles: 90.00 90.00 90.00
Closest atoms and distances in Å follow each position.
Fractional coordinates of all 10 atoms:
Ir (0.7119, 0.5000, 0.5000)  6 O 1.85-2.02
O (0.2162, 0.5000, 0.5000)  2 Ir 1.85-1.88
O (0.7427, 0.7470, 0.2530)  1 Ir 2.02, 2 Ni 2.06, 1 Ga 2.07
O (0.7427, 0.2530, 0.7470)  1 Ir 2.02, 2 Ni 2.06, 1 Ga 2.07
O (0.7427, 0.2530, 0.2530)  1 Ir 2.02, 2 Ni 2.06, 1 Ga 2.07
O (0.1949, 0.0000, 0.0000)  2 Ga 1.83-1.90
O (0.7427, 0.7470, 0.7470)  1 Ir 2.02, 2 Ni 2.06, 1 Ga 2.07
Ni (0.8338, 0.0000, 0.5000)  4 O 2.06
Ni (0.8338, 0.5000, 0.0000)  4 O 2.06
Ga (0.6852, 0.0000, 0.0000)  2 O 1.83-1.90